1.
Entry from Alexandria via LeMat-Bulk: a relaxed Ac2PrNi3 crystal (PBE).

Cell: 8.1809 8.1809 5.1607 Å, 90.00 90.00 60.50°
With the nearest neighbours (Å) after each atom.
Fractional positions:
Ac1 0.0114 0.6669 0.7500  6 Ni 2.97-3.12
Ac2 0.3331 0.9886 0.7500  6 Ni 2.97-3.12
Ac3 0.6669 0.0114 0.2500  6 Ni 2.97-3.12
Ac4 0.9886 0.3331 0.2500  6 Ni 2.97-3.12
Pr1 0.3454 0.6546 0.2500  6 Ni 2.95-3.13
Pr2 0.6546 0.3454 0.7500  6 Ni 2.95-3.13
Ni1 0.0000 0.0000 0.0000  2 Ni 2.58
Ni2 0.0000 0.0000 0.5000  2 Ni 2.58
Ni3 0.3354 0.3354 0.0000  2 Ni 2.58
Ni4 0.3354 0.3354 0.5000  2 Ni 2.58
Ni5 0.6646 0.6646 0.0000  2 Ni 2.58
Ni6 0.6646 0.6646 0.5000  2 Ni 2.58

DOS at the Fermi energy	9.529	states/eV per cell
energy of formation	-0.2165	eV/atom

***

2.
Entry from Alexandria via LeMat-Bulk: a relaxed AcPrNi crystal (PBE).

Cell: 5.0735 5.0735 5.0735 Å, 60.00 60.00 60.00°
With the nearest neighbours (Å) after each atom.
Fractional positions:
Ac1 0.0000 0.0000 0.0000  4 Ni 3.11
Pr1 0.5000 0.5000 0.5000  4 Ni 3.11
Ni1 0.2500 0.2500 0.2500  4 Ac 3.11, 4 Pr 3.11

DOS at the Fermi energy	5.692	states/eV per cell
offset from the most stable computed form	202	meV per atom
energy of formation	0.0182	eV/atom

***

3.
Entry from Alexandria via LeMat-Bulk: a relaxed Ac2PrNi6 crystal (PBE).

Cell: 7.1084 7.1084 4.1579 Å, 90.00 90.00 120.00°
With the nearest neighbours (Å) after each atom.
Fractional positions:
Ac1 0.3333 0.6667 0.0000  12 Ni 3.16
Ac2 0.6667 0.3333 0.0000  12 Ni 3.16
Pr1 0.0000 0.0000 0.0000  12 Ni 3.14
Ni1 0.0000 0.3311 0.5000  3 Ni 2.35-2.40
Ni2 0.0000 0.6689 0.5000  3 Ni 2.35-2.40
Ni3 0.3311 0.0000 0.5000  3 Ni 2.35-2.40
Ni4 0.3311 0.3311 0.5000  3 Ni 2.35-2.40
Ni5 0.6689 0.0000 0.5000  3 Ni 2.35-2.40
Ni6 0.6689 0.6689 0.5000  3 Ni 2.35-2.40

DOS at the Fermi energy	10.933	states/eV per cell
offset from the most stable computed form	0	meV per atom
energy of formation	-0.2746	eV/atom

***

4.
Entry from Alexandria via LeMat-Bulk: a relaxed AcPrNi2 crystal (PBE).

Cell: 3.6152 3.6152 7.1512 Å, 90.00 90.00 90.00°
With the nearest neighbours (Å) after each atom.
Fractional positions:
Ac1 0.0000 0.0000 0.0000  8 Ni 3.21, 2 Pr 3.58
Pr1 0.0000 0.0000 0.5000  8 Ni 3.03
Ni1 0.5000 0.5000 0.2717  4 Pr 3.03, 4 Ac 3.21, 1 Ni 3.26
Ni2 0.5000 0.5000 0.7283  4 Pr 3.03, 4 Ac 3.21, 1 Ni 3.26

DOS at the Fermi energy	4.182	states/eV per cell
offset from the most stable computed form	119	meV per atom
energy of formation	-0.1480	eV/atom

***

5.
Entry from Alexandria via LeMat-Bulk: a relaxed AcPr3Ni crystal (PBE).

Cell: 5.6126 5.6126 5.6126 Å, 90.00 90.00 90.00°
With the nearest neighbours (Å) after each atom.
Fractional positions:
Ac1 0.0000 0.0000 0.0000  12 Pr 3.97
Pr1 0.0000 0.5000 0.5000  2 Ni 2.81
Pr2 0.5000 0.0000 0.5000  2 Ni 2.81
Pr3 0.5000 0.5000 0.0000  2 Ni 2.81
Ni1 0.5000 0.5000 0.5000  6 Pr 2.81

DOS at the Fermi energy	12.579	states/eV per cell
offset from the most stable computed form	92	meV per atom
energy of formation	-0.0017	eV/atom

***

6.
Entry from Alexandria via LeMat-Bulk: a relaxed Ac2PrNi6 crystal (PBE).

Cell: 8.0547 8.0547 8.0547 Å, 151.37 128.27 60.19°
With the nearest neighbours (Å) after each atom.
Fractional positions:
Ac1 0.1582 0.1582 0.0000  10 Ni 3.05-3.18
Ac2 0.8418 0.8418 0.0000  10 Ni 3.05-3.18
Pr1 0.5000 0.0000 0.5000  12 Ni 3.02-3.10
Ni1 0.1614 0.5000 0.6614  3 Ni 2.27-2.30
Ni2 0.1941 0.3600 0.8341  2 Ni 2.30-2.33
Ni3 0.4741 0.6400 0.8341  2 Ni 2.30-2.33
Ni4 0.5259 0.3600 0.1659  2 Ni 2.30-2.33
Ni5 0.8059 0.6400 0.1659  2 Ni 2.30-2.33
Ni6 0.8386 0.5000 0.3386  3 Ni 2.27-2.30

DOS at the Fermi energy	8.615	states/eV per cell
offset from the most stable computed form	218	meV per atom
energy of formation	-0.0565	eV/atom

***

7.
Entry from Alexandria via LeMat-Bulk: a relaxed AcPr4Ni4 crystal (PBE).

Cell: 8.9523 8.9523 5.8850 Å, 90.00 90.00 90.00°
With the nearest neighbours (Å) after each atom.
Fractional positions:
Ac1 0.2500 0.2500 0.2500  4 Ni 2.91
Ac2 0.7500 0.7500 0.7500  4 Ni 2.91
Pr1 0.0692 0.6586 0.1603  5 Ni 2.77-3.09
Pr2 0.1586 0.9308 0.6603  5 Ni 2.77-3.09
Pr3 0.3414 0.5692 0.6603  5 Ni 2.77-3.09
Pr4 0.4308 0.8414 0.1603  5 Ni 2.77-3.09
Pr5 0.5692 0.1586 0.8397  5 Ni 2.77-3.09
Pr6 0.6586 0.4308 0.3397  5 Ni 2.77-3.09
Pr7 0.8414 0.0692 0.3397  5 Ni 2.77-3.09
Pr8 0.9308 0.3414 0.8397  5 Ni 2.77-3.09
Ni1 0.0349 0.6114 0.6423  1 Ni 2.68, 3 Pr 2.77-2.88, 1 Ac 2.91
Ni2 0.1114 0.9651 0.1423  1 Ni 2.68, 3 Pr 2.77-2.88, 1 Ac 2.91
Ni3 0.3886 0.5349 0.1423  1 Ni 2.68, 3 Pr 2.77-2.88, 1 Ac 2.91
Ni4 0.4651 0.8886 0.6423  1 Ni 2.68, 3 Pr 2.77-2.88, 1 Ac 2.91
Ni5 0.5349 0.1114 0.3577  1 Ni 2.68, 3 Pr 2.77-2.88, 1 Ac 2.91
Ni6 0.6114 0.4651 0.8577  1 Ni 2.68, 3 Pr 2.77-2.88, 1 Ac 2.91
Ni7 0.8886 0.0349 0.8577  1 Ni 2.68, 3 Pr 2.77-2.88, 1 Ac 2.91
Ni8 0.9651 0.3886 0.3577  1 Ni 2.68, 3 Pr 2.77-2.88, 1 Ac 2.91

DOS at the Fermi energy	16.090	states/eV per cell
energy of formation	-0.1589	eV/atom

***

8.
Entry from Alexandria via LeMat-Bulk: a relaxed AcPrNiRh crystal (PBE).

Cell: 5.1267 5.1267 5.1267 Å, 60.00 60.00 60.00°
With the nearest neighbours (Å) after each atom.
Fractional positions:
Ac1 0.0000 0.0000 0.0000  4 Ni 3.14, 4 Rh 3.14
Pr1 0.5000 0.5000 0.5000  4 Ni 3.14, 4 Rh 3.14
Ni1 0.2500 0.2500 0.2500  4 Ac 3.14, 4 Pr 3.14
Rh1 0.7500 0.7500 0.7500  4 Pr 3.14, 4 Ac 3.14

DOS at the Fermi energy	2.347	states/eV per cell
offset from the most stable computed form	107	meV per atom
energy of formation	-0.3712	eV/atom

***

9.
Entry from Alexandria via LeMat-Bulk: a relaxed AcPrNiRh crystal (PBE).

Cell: 4.2735 6.0045 6.0045 Å, 39.51 90.00 90.00°
With the nearest neighbours (Å) after each atom.
Fractional positions:
Ac1 0.0000 0.0000 0.0000  4 Rh 3.03, 3 Ni 3.19
Pr1 0.5000 0.7264 0.7264  4 Ni 3.01, 3 Rh 3.14-3.25
Ni1 0.0000 0.2823 0.2823  2 Rh 2.78, 4 Pr 3.01
Rh1 0.5000 0.4389 0.4389  2 Ni 2.78, 4 Ac 3.03

DOS at the Fermi energy	2.470	states/eV per cell
offset from the most stable computed form	0	meV per atom
energy of formation	-0.4780	eV/atom

***

10.
Entry from Alexandria via LeMat-Bulk: a relaxed AcPrNiRu crystal (PBE).

Cell: 4.1772 6.0451 6.0451 Å, 40.21 90.00 90.00°
With the nearest neighbours (Å) after each atom.
Fractional positions:
Ac1 0.0000 0.0000 0.0000  4 Ni 3.09, 3 Ru 3.18-3.27
Pr1 0.5000 0.2807 0.2807  4 Ru 3.05, 2 Ni 3.07
Ni1 0.5000 0.5822 0.5822  2 Ru 2.56
Ru1 0.0000 0.7119 0.7119  2 Ni 2.56

DOS at the Fermi energy	3.211	states/eV per cell
offset from the most stable computed form	0	meV per atom
energy of formation	-0.1824	eV/atom

***

11.
Entry from Alexandria via LeMat-Bulk: a relaxed AcPrNiRu crystal (PBE).

Cell: 5.1064 5.1064 5.1064 Å, 60.00 60.00 60.00°
With the nearest neighbours (Å) after each atom.
Fractional positions:
Ac1 0.0000 0.0000 0.0000  4 Ru 3.13, 4 Ni 3.13
Pr1 0.5000 0.5000 0.5000  4 Ru 3.13, 4 Ni 3.13
Ni1 0.2500 0.2500 0.2500  4 Pr 3.13, 4 Ac 3.13
Ru1 0.7500 0.7500 0.7500  4 Ac 3.13, 4 Pr 3.13

DOS at the Fermi energy	4.536	states/eV per cell
offset from the most stable computed form	113	meV per atom
energy of formation	-0.0690	eV/atom

***

12.
Entry from Alexandria via LeMat-Bulk: a relaxed AcPrNi2Sb2 crystal (PBE).

Cell: 4.4363 4.4363 8.6398 Å, 90.00 90.00 120.00°
With the nearest neighbours (Å) after each atom.
Fractional positions:
Ac1 0.0000 0.0000 0.0000  6 Ni 3.41, 6 Sb 3.43
Pr1 0.0000 0.0000 0.5000  6 Sb 3.28, 6 Ni 3.30
Ni1 0.3333 0.6667 0.7401  3 Sb 2.56
Ni2 0.6667 0.3333 0.2599  3 Sb 2.56
Sb1 0.3333 0.6667 0.2634  3 Ni 2.56
Sb2 0.6667 0.3333 0.7366  3 Ni 2.56

DOS at the Fermi energy	2.589	states/eV per cell
formation energy (no corrections)	-0.819	eV/atom

***

It is found that the E_tot values, taken in the order of the records, are -5.2732 -4.8716 -5.5729 -5.2607 -4.8474 -5.3548 -5.3091 -5.8764 -5.9832 -6.1687 -6.0553 -5.6012 eV/atom.